# Nd12Co3O5 (GGA+U, relaxed)
data_Nd12Co3O5
_chemical_formula_sum 'Nd48 Co12 O20'
_symmetry_space_group_name_H-M 'P 1'
_symmetry_Int_Tables_number 1
_cell_length_a 13.708
_cell_length_b 13.708
_cell_length_c 13.708
_cell_angle_alpha 109.47
_cell_angle_beta 109.47
_cell_angle_gamma 109.47
loop_
_symmetry_equiv_pos_as_xyz
'x,y,z'
loop_
_atom_site_label
_atom_site_type_symbol
_atom_site_fract_x
_atom_site_fract_y
_atom_site_fract_z
Nd1 Nd 0.019 0.204 0.113
Nd2 Nd 0.019 0.315 0.905
Nd3 Nd 0.091 0.704 0.685
Nd4 Nd 0.091 0.887 0.405
Nd5 Nd 0.095 0.613 0.409
Nd6 Nd 0.095 0.981 0.685
Nd7 Nd 0.113 0.019 0.204
Nd8 Nd 0.113 0.595 0.909
Nd9 Nd 0.185 0.204 0.591
Nd10 Nd 0.185 0.481 0.595
Nd11 Nd 0.204 0.113 0.019
Nd12 Nd 0.204 0.591 0.185
Nd13 Nd 0.296 0.315 0.909
Nd14 Nd 0.296 0.481 0.387
Nd15 Nd 0.315 0.905 0.019
Nd16 Nd 0.315 0.909 0.296
Nd17 Nd 0.387 0.296 0.481
Nd18 Nd 0.387 0.591 0.905
Nd19 Nd 0.405 0.091 0.887
Nd20 Nd 0.405 0.815 0.519
Nd21 Nd 0.409 0.095 0.613
Nd22 Nd 0.409 0.815 0.796
Nd23 Nd 0.481 0.387 0.296
Nd24 Nd 0.481 0.595 0.185
Nd25 Nd 0.519 0.405 0.815
Nd26 Nd 0.519 0.613 0.704
Nd27 Nd 0.591 0.185 0.204
Nd28 Nd 0.591 0.905 0.387
Nd29 Nd 0.595 0.185 0.481
Nd30 Nd 0.595 0.909 0.113
Nd31 Nd 0.613 0.409 0.095
Nd32 Nd 0.613 0.704 0.519
Nd33 Nd 0.685 0.091 0.704
Nd34 Nd 0.685 0.095 0.981
Nd35 Nd 0.704 0.519 0.613
Nd36 Nd 0.704 0.685 0.091
Nd37 Nd 0.796 0.409 0.815
Nd38 Nd 0.796 0.887 0.981
Nd39 Nd 0.815 0.519 0.405
Nd40 Nd 0.815 0.796 0.409
Nd41 Nd 0.887 0.405 0.091
Nd42 Nd 0.887 0.981 0.796
Nd43 Nd 0.905 0.019 0.315
Nd44 Nd 0.905 0.387 0.591
Nd45 Nd 0.909 0.113 0.595
Nd46 Nd 0.909 0.296 0.315
Nd47 Nd 0.981 0.685 0.095
Nd48 Nd 0.981 0.796 0.887
Co1 Co 0.125 0.250 0.375
Co2 Co 0.125 0.375 0.750
Co3 Co 0.250 0.375 0.125
Co4 Co 0.250 0.875 0.625
Co5 Co 0.375 0.125 0.250
Co6 Co 0.375 0.750 0.125
Co7 Co 0.625 0.250 0.875
Co8 Co 0.625 0.875 0.750
Co9 Co 0.750 0.125 0.375
Co10 Co 0.750 0.625 0.875
Co11 Co 0.875 0.625 0.250
Co12 Co 0.875 0.750 0.625
O1 O 0.000 0.000 0.000
O2 O 0.000 0.000 0.500
O3 O 0.000 0.500 0.000
O4 O 0.000 0.500 0.500
O5 O 0.125 0.750 0.875
O6 O 0.125 0.875 0.250
O7 O 0.250 0.125 0.875
O8 O 0.250 0.625 0.375
O9 O 0.375 0.250 0.625
O10 O 0.375 0.625 0.750
O11 O 0.500 0.000 0.000
O12 O 0.500 0.000 0.500
O13 O 0.500 0.500 0.000
O14 O 0.500 0.500 0.500
O15 O 0.625 0.375 0.250
O16 O 0.625 0.750 0.375
O17 O 0.750 0.375 0.625
O18 O 0.750 0.875 0.125
O19 O 0.875 0.125 0.750
O20 O 0.875 0.250 0.125
# - VASP energy: -0.4486 Ry/atom